First-principles (PBE) data for a relaxed Nd2AgCl crystal, as listed in Alexandria.

Cell: 3.493 3.493 8.310 Å, 90.00 90.00 90.00°
Fractional positions:
Nd: 0.000 0.000 0.242
Nd: 0.000 0.000 0.758
Ag: 0.500 0.500 0.000
Cl: 0.500 0.500 0.500

Results
Energy above the lowest structure with this stoichiometry, meV per atom: 81
Raw formation energy, eV/f.u.: -2.76
Spin magnetization, μB per cell: 0.00
D(E_F), states/eV/f.u.: 4.2
Total DFT energy (no corrections), eV per atom: -4.248
V, Å³/atom: 25.344